# CoAgP, optimized geometry, DFT PBE-GGA
data_CoAgP
_symmetry_space_group_name_H-M 'P 3 m 1'
_symmetry_Int_Tables_number 156
_symmetry_space_group_name_Hall 'P 3 -2"'
_cell_length_a 2.8874
_cell_length_b 2.8874
_cell_length_c 6.1448
_cell_angle_alpha 90.00
_cell_angle_beta 90.00
_cell_angle_gamma 120.00
loop_
_atom_site_label
_atom_site_type_symbol
_atom_site_fract_x
_atom_site_fract_y
_atom_site_fract_z
Co1 Co 0.0000 0.0000 0.0000
Ag1 Ag 0.3333 0.6667 0.6340
P1 P 0.6667 0.3333 0.2251
# D(E_F) = 0.928 states/eV/atom
# DFT formation energy = 7 kJ per mole of atoms
# Crystal system = trigonal
# Energy above the lowest structure with this stoichiometry = 0.768 eV/f.u.

# Pm5RuRh2, optimized geometry, DFT PBE-GGA
data_Pm5RuRh2
_symmetry_space_group_name_H-M 'I 4/m c m'
_symmetry_Int_Tables_number 140
_symmetry_space_group_name_Hall '-I 4 2c'
_cell_length_a 7.489
_cell_length_b 7.489
_cell_length_c 14.369
_cell_angle_alpha 90.00
_cell_angle_beta 90.00
_cell_angle_gamma 90.00
loop_
_atom_site_label
_atom_site_type_symbol
_atom_site_fract_x
_atom_site_fract_y
_atom_site_fract_z
Pm1 Pm 0.000 0.000 0.000
Pm2 Pm 0.175 0.325 0.144
Ru1 Ru 0.000 0.000 0.250
Rh1 Rh 0.129 0.371 0.500
# D(E_F) = 0.625 states/eV/atom
# DFT formation energy = -45 kJ per mole of atoms
# Crystal system = tetragonal

# Tb4SmDy2Ho, optimized geometry, DFT PBE-GGA
data_Tb4SmDy2Ho
_symmetry_space_group_name_H-M 'P 4/m m m'
_symmetry_Int_Tables_number 123
_symmetry_space_group_name_Hall '-P 4 2'
_cell_length_a 5.028
_cell_length_b 5.028
_cell_length_c 10.070
_cell_angle_alpha 90.00
_cell_angle_beta 90.00
_cell_angle_gamma 90.00
loop_
_atom_site_label
_atom_site_type_symbol
_atom_site_fract_x
_atom_site_fract_y
_atom_site_fract_z
Tb1 Tb 0.000 0.500 0.248
Sm1 Sm 0.000 0.000 0.500
Dy1 Dy 0.000 0.000 0.000
Dy2 Dy 0.500 0.500 0.500
Ho1 Ho 0.500 0.500 0.000
# D(E_F) = 1.307 states/eV/atom
# DFT formation energy = 2 kJ per mole of atoms
# Crystal system = tetragonal

# Tm4HPb2, optimized geometry, DFT PBE-GGA
data_Tm4HPb2
_symmetry_space_group_name_H-M 'P 1 21/m 1'
_symmetry_Int_Tables_number 11
_symmetry_space_group_name_Hall '-P 2yb'
_cell_length_a 6.273
_cell_length_b 6.446
_cell_length_c 9.019
_cell_angle_alpha 90.00
_cell_angle_beta 109.13
_cell_angle_gamma 90.00
loop_
_atom_site_label
_atom_site_type_symbol
_atom_site_fract_x
_atom_site_fract_y
_atom_site_fract_z
Tm1 Tm 0.040 0.001 0.303
Tm2 Tm 0.359 0.750 0.052
Tm3 Tm 0.431 0.750 0.655
H1 H 0.204 0.750 0.794
Pb1 Pb 0.188 0.250 0.027
Pb2 Pb 0.356 0.250 0.605
# D(E_F) = 0.649 states/eV/atom
# Crystal system = monoclinic
# Energy above the lowest structure with this stoichiometry = 0.000 eV/f.u.